(1)
DFT (PBEsol) results for AgGeB2Pd after structural relaxation.

Unit cell a=3.976 b=3.976 c=5.157 alpha=90.00 beta=90.00 gamma=90.00
Atoms (fractional coordinates):
Ag: 0.000 0.000 0.000
Ge: 0.500 0.500 0.000
B: 0.000 0.500 0.500
B: 0.500 0.000 0.500
Pd: 0.000 0.000 0.500

Total magnetization, Bohr magnetons per cell: 0.00
Space-group type: P4/mmm, No. 123
Calculated total energy, eV per cell: -23.27
Calculated formation energy, eV per atom: 0.995


(2)
DFT (PBEsol) results for In7Sb after structural relaxation.

Unit cell a=6.621 b=6.621 c=6.621 alpha=60.00 beta=60.00 gamma=60.00
Atoms (fractional coordinates):
In: 0.000 0.000 0.000
In: 0.000 0.000 0.500
In: 0.000 0.500 0.000
In: 0.000 0.500 0.500
In: 0.500 0.000 0.000
In: 0.500 0.000 0.500
In: 0.500 0.500 0.000
Sb: 0.500 0.500 0.500

Total magnetization, Bohr magnetons per cell: 0.00
Formation energy without anion corrections, eV/atom: 0.011
Space-group type: Fm-3m, No. 225
Calculated total energy, eV per cell: -25.35


(3)
DFT (PBEsol) results for MnCoSb2I after structural relaxation.

Unit cell a=4.791 b=4.791 c=5.411 alpha=90.00 beta=90.00 gamma=90.00
Atoms (fractional coordinates):
Mn: 0.000 0.000 0.000
Co: 0.500 0.500 0.500
Sb: 0.000 0.500 0.500
Sb: 0.500 0.000 0.500
I: 0.500 0.500 0.000

Total magnetization, Bohr magnetons per cell: 3.55
Formation energy without anion corrections, eV/atom: 0.693
Space-group type: P4/mmm, No. 123
Calculated total energy, eV per cell: -24.91


(4)
DFT (PBEsol) results for Zn2CdSb after structural relaxation.

Unit cell a=8.447 b=8.447 c=8.447 alpha=22.92 beta=22.92 gamma=22.92
Atoms (fractional coordinates):
Zn: 0.248 0.248 0.248
Zn: 0.752 0.752 0.752
Cd: 0.500 0.500 0.500
Sb: 0.000 0.000 0.000

Total magnetization, Bohr magnetons per cell: 0.00
Formation energy without anion corrections, eV/atom: 0.155
Space-group type: R-3m, No. 166
Calculated total energy, eV per cell: -8.30


(5)
DFT (PBEsol) results for Ag2AsRu after structural relaxation.

Unit cell a=5.619 b=5.619 c=2.975 alpha=104.63 beta=104.63 gamma=125.49
Atoms (fractional coordinates):
Ag: 0.000 0.500 0.000
Ag: 0.500 0.000 0.000
As: 0.000 0.000 0.500
Ru: 0.500 0.500 0.500

Total magnetization, Bohr magnetons per cell: 0.05
Space-group type: C2/m, No. 12
Calculated total energy, eV per cell: -20.51
Calculated formation energy, eV per atom: 0.347


(6)
DFT (PBEsol) results for AsWBr2F after structural relaxation.

Unit cell a=4.897 b=4.897 c=4.845 alpha=90.00 beta=90.00 gamma=90.00
Atoms (fractional coordinates):
As: 0.000 0.000 0.000
W: 0.000 0.000 0.500
Br: 0.000 0.500 0.500
Br: 0.500 0.000 0.500
F: 0.500 0.500 0.000

Total magnetization, Bohr magnetons per cell: 0.00
Formation energy without anion corrections, eV/atom: 0.150
Space-group type: P4/mmm, No. 123
Calculated total energy, eV per cell: -23.83


(7)
DFT (PBEsol) results for Ga3BIr after structural relaxation.

Unit cell a=4.707 b=4.707 c=4.707 alpha=90.00 beta=90.00 gamma=90.00
Atoms (fractional coordinates):
Ga: 0.000 0.000 0.500
Ga: 0.000 0.500 0.000
Ga: 0.500 0.000 0.000
B: 0.500 0.500 0.500
Ir: 0.000 0.000 0.000

Total magnetization, Bohr magnetons per cell: 0.00
Space-group type: Pm-3m, No. 221
Calculated total energy, eV per cell: -22.94
Calculated formation energy, eV per atom: 0.784


(8)
DFT (PBEsol) results for Zn7Ag6 after structural relaxation.

Unit cell a=9.405 b=9.405 c=9.405 alpha=30.88 beta=30.88 gamma=30.88
Atoms (fractional coordinates):
Zn: 0.000 0.000 0.000
Zn: 0.090 0.090 0.586
Zn: 0.090 0.586 0.090
Zn: 0.414 0.910 0.910
Zn: 0.586 0.090 0.090
Zn: 0.910 0.414 0.910
Zn: 0.910 0.910 0.414
Ag: 0.167 0.167 0.167
Ag: 0.346 0.346 0.346
Ag: 0.451 0.451 0.451
Ag: 0.549 0.549 0.549
Ag: 0.654 0.654 0.654
Ag: 0.833 0.833 0.833

Total magnetization, Bohr magnetons per cell: 0.00
Space-group type: R-3m, No. 166
Calculated total energy, eV per cell: -31.77
Calculated formation energy, eV per atom: -0.064